No. 1
# Dy3ErAg3 (PBE-GGA, relaxed)
data_Dy3ErAg3
_cell_length_a 9.861
_cell_length_b 10.655
_cell_length_c 7.009
_cell_angle_alpha 90.00
_cell_angle_beta 91.16
_cell_angle_gamma 90.00
_space_group_name_H-M_alt 'C 1 2/m 1'
_space_group_IT_number 12
loop_
_space_group_symop_operation_xyz
'x,y,z'
'-x,-y,-z'
'-x,y,-z'
'x,-y,z'
'x+1/2,y+1/2,z'
'-x+1/2,-y+1/2,-z'
'-x+1/2,y+1/2,-z'
'x+1/2,-y+1/2,z'
loop_
_atom_site_label
_atom_site_type_symbol
_atom_site_fract_x
_atom_site_fract_y
_atom_site_fract_z
_atom_site_occupancy
Dy1 Dy 0.000 0.182 0.000 1
Dy2 Dy 0.000 0.263 0.500 1
Dy3 Dy 0.127 0.500 0.848 1
Er1 Er 0.243 0.500 0.355 1
Ag1 Ag 0.072 0.000 0.315 1
Ag2 Ag 0.241 0.243 0.229 1
# Formation enthalpy at 0 K: -147 meV/atom


No. 2
# TbSmMnTl (PBE-GGA, relaxed)
data_TbSmMnTl
_cell_length_a 7.471
_cell_length_b 7.471
_cell_length_c 7.471
_cell_angle_alpha 90.00
_cell_angle_beta 90.00
_cell_angle_gamma 90.00
_space_group_name_H-M_alt 'F -4 3 m'
_space_group_IT_number 216
_space_group_name_Hall 'F -4 2 3'
loop_
_atom_site_label
_atom_site_type_symbol
_atom_site_fract_x
_atom_site_fract_y
_atom_site_fract_z
_atom_site_occupancy
Tb1 Tb 0.000 0.000 0.000 1
Sm1 Sm 0.000 0.000 0.500 1
Mn1 Mn 0.250 0.250 0.250 1
Tl1 Tl 0.250 0.250 0.750 1
# Formation enthalpy at 0 K: -9 meV/atom


No. 3
# Mn3As (PBE-GGA, relaxed)
data_Mn3As
_cell_length_a 8.0551
_cell_length_b 8.0551
_cell_length_c 2.6820
_cell_angle_alpha 90.00
_cell_angle_beta 90.00
_cell_angle_gamma 120.00
_space_group_name_H-M_alt 'R -3 m'
_space_group_IT_number 166
_space_group_name_Hall '-R 3 2"'
loop_
_atom_site_label
_atom_site_type_symbol
_atom_site_fract_x
_atom_site_fract_y
_atom_site_fract_z
_atom_site_occupancy
Mn1 Mn 0.0000 0.5000 0.0000 1
As1 As 0.0000 0.0000 0.0000 1
# Formation enthalpy at 0 K: 219 meV/atom


No. 4
# ZrSbCl2 (PBE-GGA, relaxed)
data_ZrSbCl2
_cell_length_a 3.277
_cell_length_b 3.277
_cell_length_c 8.611
_cell_angle_alpha 90.00
_cell_angle_beta 90.00
_cell_angle_gamma 90.00
_space_group_name_H-M_alt 'P 4 m m'
_space_group_IT_number 99
loop_
_space_group_symop_operation_xyz
'x,y,z'
'-y,x,z'
'-x,-y,z'
'y,-x,z'
'-x,y,z'
'y,x,z'
'x,-y,z'
'-y,-x,z'
loop_
_atom_site_label
_atom_site_type_symbol
_atom_site_fract_x
_atom_site_fract_y
_atom_site_fract_z
_atom_site_occupancy
Zr1 Zr 0.000 0.000 0.000 1
Sb1 Sb 0.500 0.500 0.744 1
Cl1 Cl 0.000 0.000 0.512 1
Cl2 Cl 0.500 0.500 0.179 1
# E_form (uncorrected): -625 meV per atom
# Relative energy among the computed polymorphs: 174 kJ/mol of formula units


No. 5
# Sc3Be (PBE-GGA, relaxed)
data_Sc3Be
_cell_length_a 9.7694
_cell_length_b 9.7694
_cell_length_c 3.0017
_cell_angle_alpha 90.00
_cell_angle_beta 90.00
_cell_angle_gamma 120.00
_space_group_name_H-M_alt 'R -3 m'
_space_group_IT_number 166
_space_group_name_Hall '-R 3 2"'
loop_
_atom_site_label
_atom_site_type_symbol
_atom_site_fract_x
_atom_site_fract_y
_atom_site_fract_z
_atom_site_occupancy
Sc1 Sc 0.0000 0.5000 0.0000 1
Be1 Be 0.0000 0.0000 0.0000 1
# Formation enthalpy at 0 K: 303 meV/atom
# Relative energy among the computed polymorphs: 115 kJ/mol of formula units


No. 6
# Fe2GeSe4 (PBE-GGA, relaxed)
data_Fe2GeSe4
_cell_length_a 12.504
_cell_length_b 7.330
_cell_length_c 6.164
_cell_angle_alpha 90.00
_cell_angle_beta 90.00
_cell_angle_gamma 90.00
_space_group_name_H-M_alt 'P n m a'
_space_group_IT_number 62
loop_
_space_group_symop_operation_xyz
'x,y,z'
'-x,-y,-z'
'-x+1/2,-y,z+1/2'
'x+1/2,y,-z+1/2'
'x+1/2,-y+1/2,-z+1/2'
'-x+1/2,y+1/2,z+1/2'
'-x,y+1/2,-z'
'x,-y+1/2,z'
loop_
_atom_site_label
_atom_site_type_symbol
_atom_site_fract_x
_atom_site_fract_y
_atom_site_fract_z
_atom_site_occupancy
Fe1 Fe 0.000 0.000 0.000 1
Fe2 Fe 0.226 0.250 0.497 1
Ge1 Ge 0.085 0.750 0.568 1
Se1 Se 0.079 0.250 0.215 1
Se2 Se 0.090 0.750 0.165 1
Se3 Se 0.161 0.008 0.766 1
# E_form (uncorrected): -131 meV per atom


No. 7
# Fe6ReSi (PBE-GGA, relaxed)
data_Fe6ReSi
_cell_length_a 7.110
_cell_length_b 10.128
_cell_length_c 10.111
_cell_angle_alpha 90.00
_cell_angle_beta 90.00
_cell_angle_gamma 90.00
_space_group_name_H-M_alt 'C m m m'
_space_group_IT_number 65
_space_group_name_Hall '-C 2 2'
loop_
_atom_site_label
_atom_site_type_symbol
_atom_site_fract_x
_atom_site_fract_y
_atom_site_fract_z
_atom_site_occupancy
Fe1 Fe 0.000 0.000 0.000 1
Fe2 Fe 0.000 0.000 0.500 1
Fe3 Fe 0.000 0.250 0.249 1
Fe4 Fe 0.000 0.500 0.000 1
Fe5 Fe 0.000 0.500 0.500 1
Fe6 Fe 0.244 0.125 0.124 1
Fe7 Fe 0.249 0.125 0.374 1
Re1 Re 0.000 0.257 0.500 1
Re2 Re 0.000 0.500 0.253 1
Si1 Si 0.000 0.000 0.256 1
Si2 Si 0.000 0.257 0.000 1
# E_form (uncorrected): -64 meV per atom


No. 8
# NaGeSb2I (PBE-GGA, relaxed)
data_NaGeSb2I
_cell_length_a 5.390
_cell_length_b 5.390
_cell_length_c 6.311
_cell_angle_alpha 90.00
_cell_angle_beta 90.00
_cell_angle_gamma 90.00
_space_group_name_H-M_alt 'P 4/m m m'
_space_group_IT_number 123
_space_group_name_Hall '-P 4 2'
loop_
_atom_site_label
_atom_site_type_symbol
_atom_site_fract_x
_atom_site_fract_y
_atom_site_fract_z
_atom_site_occupancy
Na1 Na 0.000 0.000 0.000 1
Ge1 Ge 0.500 0.500 0.500 1
Sb1 Sb 0.000 0.500 0.500 1
I1 I 0.500 0.500 0.000 1
# E_form (uncorrected): 204 meV per atom
# Relative energy among the computed polymorphs: 0 kJ/mol of formula units